No. 1
Compound: HfZn3Pt
Source: the Alexandria database
Functional: PBE
Structure: relaxed

```
5
Lattice="4.688 0.000 0.000 0.000 4.688 0.000 0.000 0.000 4.688" Properties=species:S:1:pos:R:3 pbc="T T T"
Hf 2.344 2.344 2.344
Pt 0.000 0.000 0.000
Zn 2.344 0.000 0.000
Zn 0.000 0.000 2.344
Zn 0.000 2.344 0.000
```

Output
The energy above the most stable polymorph in this dataset comes out at 662.2 meV/atom. The total energy comes out at -3.663 eV per atom. The value obtained for the size of the total moment is 0.00 μB/f.u. The calculation puts the calculated formation energy at 29 kJ/mol of atoms.

***

No. 2
Compound: PuMnZn8Ga2
Source: the Alexandria database
Functional: PBE
Structure: relaxed

```
12
Lattice="-1.042 3.169 -3.105 -4.398 0.086 -1.194 -0.337 6.155 9.336" Properties=species:S:1:pos:R:3 pbc="T T T"
Zn -2.124 6.974 7.518
Zn -3.652 2.437 -2.481
Zn -2.451 7.576 4.686
Ga -2.236 5.014 4.162
Zn -3.325 1.835 0.351
Zn -1.629 3.394 -0.615
Ga -3.541 4.397 0.875
Zn -4.148 6.017 5.652
Zn -4.244 6.498 3.029
Zn -1.532 2.913 2.008
Mn 0.000 0.000 0.000
Pu -0.168 3.078 4.668
```

Output
The total energy comes out at -3.308 eV per atom. The value obtained for the size of the total moment is 8.83 μB/f.u. The calculation puts the calculated formation energy at 0 kJ/mol of atoms.

***

No. 3
Compound: RbIrBr5
Source: the Alexandria database
Functional: PBE
Structure: relaxed

```
14
Lattice="-5.435 4.367 -6.270 -7.115 -4.189 4.442 -5.823 4.331 2.546" Properties=species:S:1:pos:R:3 pbc="T T T"
Rb -13.560 4.502 -0.865
Br -10.262 7.027 -2.171
Br -10.227 4.498 0.670
Br -10.698 1.300 2.092
Br -4.534 3.354 0.649
Br -7.642 2.594 2.327
Ir 0.000 0.000 0.000
Ir -9.187 2.254 0.359
Br -8.147 0.010 0.048
Br -7.675 3.208 -1.373
Br -8.112 -2.519 2.889
Br -13.839 1.155 0.070
Rb -4.814 0.006 1.583
Br -10.731 1.915 -1.609
```

Output
The uncorrected formation energy is -0.609 eV per atom. The total energy comes out at -3.208 eV per atom. The value obtained for the size of the total moment is 1.04 μB/f.u.

***

No. 4
Compound: DySnHgBi
Source: the Alexandria database
Functional: PBE
Structure: relaxed

```
4
Lattice="-4.633 -0.203 -2.788 -0.476 -3.360 -4.214 -3.186 -4.358 0.361" Properties=species:S:1:pos:R:3 pbc="T T T"
Bi -4.147 -3.961 -3.320
Sn -6.221 -5.941 -4.981
Dy -2.074 -1.980 -1.660
Hg 0.000 0.000 0.000
```

Output
The total energy comes out at -3.416 eV per atom. The value obtained for the size of the total moment is 0.00 μB/f.u. The calculation puts the calculated formation energy at -21 kJ/mol of atoms.